## Mg4CdAu (GGA-PBE)

Data for a relaxed structure of Mg4CdAu.

Computed properties:
The value obtained for the energy above the most stable polymorph in this dataset is 0 kJ/mol of formula units. The calculation puts the energy of formation at -208 meV/atom. The volume comes out at 132.25 Å³ per cell.

Cell: 3.422 4.907 8.603 Å, 81.78 78.53 69.59°
Fractional coordinates of all 6 atoms:
Mg: 0.153 0.031 0.663
Cd: 0.500 0.500 0.500
Mg: 0.351 0.438 0.859
Mg: 0.649 0.562 0.141
Au: 0.000 0.000 0.000
Mg: 0.847 0.969 0.337

## Dy4CoSn8 (GGA-PBE)

Data for a relaxed structure of Dy4CoSn8.

Computed properties:
The calculation puts the energy of formation at -539 meV/atom. The volume comes out at 324.51 Å³ per cell.

Cell: 4.403 4.444 16.584 Å, 90.00 90.00 90.00°
Fractional coordinates of all 13 atoms:
Dy: 0.500 0.500 0.395
Sn: 0.000 0.000 0.751
Sn: 0.500 0.000 0.236
Sn: 0.500 0.500 0.059
Sn: 0.000 0.500 0.933
Sn: 0.500 0.000 0.574
Sn: 0.000 0.000 0.455
Dy: 0.000 0.500 0.603
Dy: 0.000 0.000 0.096
Co: 0.000 0.000 0.307
Sn: 0.000 0.500 0.237
Sn: 0.500 0.500 0.753
Dy: 0.500 0.000 0.900

## ZrTlPb (GGA-PBE)

Data for a relaxed structure of ZrTlPb.

Computed properties:
The value obtained for the energy above the most stable polymorph in this dataset is 11 kJ/mol of formula units. The calculation puts the energy of formation at 123 meV/atom. The volume comes out at 79.31 Å³ per cell.

Cell: 7.601 7.510 3.337 Å, 78.77 75.72 25.51°
Fractional coordinates of all 3 atoms:
Pb: 0.011 0.011 0.989
Zr: 0.669 0.669 0.331
Tl: 0.320 0.320 0.680

## CeSi2Ir2 (GGA-PBE)

Data for a relaxed structure of CeSi2Ir2.

Computed properties:
As for the raw formation energy: -1.0419 eV/atom. The volume comes out at 85.11 Å³ per cell.

Cell: 4.101 4.101 5.833 Å, 110.58 110.58 90.00°
Last column: magnetic moment on the atom in μB.
Fractional coordinates of all 5 atoms:
Si: 0.621 0.621 0.243  0.00
Si: 0.379 0.379 0.757  0.00
Ir: 0.750 0.250 0.500  -0.01
Ir: 0.250 0.750 0.500  -0.01
Ce: 0.000 0.000 0.000  0.43

| no. | DFT total energy (Ry/atom) |
| --- | --- |
| 1 | -0.1448 |
| 2 | -0.3649 |
| 3 | -0.3492 |
| 4 | -0.5837 |